# CrInHg GGA-PBEsol optimized geometry
# Formation energy from the elements ... 485 meV per atom
# ΔE to the lowest computed polymorph ... 113 meV/atom
# Energy ... -49.35 eV/cell
# Magnetization ... 1.2178 μB per atom
data_CrInHg
_chemical_formula_sum 'Cr4 In4 Hg4'
_cell_length_a 6.386
_cell_length_b 6.386
_cell_length_c 6.386
_cell_angle_alpha 90.00
_cell_angle_beta 90.00
_cell_angle_gamma 90.00
_symmetry_space_group_name_H-M 'F -4 3 m'
_symmetry_Int_Tables_number 216
_symmetry_space_group_name_Hall 'F -4 2 3'
loop_
_atom_site_label
_atom_site_type_symbol
_atom_site_fract_x
_atom_site_fract_y
_atom_site_fract_z
Cr1 Cr 0.000 0.000 0.000
In1 In 0.250 0.250 0.750
Hg1 Hg 0.250 0.250 0.250